The following is a PBE-GGA calculation of CoAg after structural relaxation, from Alexandria.

Results
Symmetry: I4/mmm
Formation energy from the elements in eV per atom: 0.477
M_tot in μB per formula unit: 1.72

Lattice parameters (Å, degrees): 7.5615 7.5615 4.2631 90.00 90.00 90.00
With the nearest neighbours (Å) after each atom.
Atoms (fractional coordinates):
Co1 0.1505 0.1505 0.0000  2 Co 2.28
Co2 0.1505 0.8495 0.0000  2 Co 2.28
Co3 0.8495 0.1505 0.0000  2 Co 2.28
Co4 0.8495 0.8495 0.0000  2 Co 2.28
Co5 0.6505 0.6505 0.5000  2 Co 2.28
Co6 0.6505 0.3495 0.5000  2 Co 2.28
Co7 0.3495 0.6505 0.5000  2 Co 2.28
Co8 0.3495 0.3495 0.5000  2 Co 2.28
Ag1 0.8003 0.5000 0.0000  6 Co 2.67
Ag2 0.1997 0.5000 0.0000  6 Co 2.67
Ag3 0.5000 0.1997 0.0000  6 Co 2.67
Ag4 0.5000 0.8003 0.0000  6 Co 2.67
Ag5 0.3003 0.0000 0.5000  6 Co 2.67
Ag6 0.6997 0.0000 0.5000  6 Co 2.67
Ag7 0.0000 0.6997 0.5000  6 Co 2.67
Ag8 0.0000 0.3003 0.5000  6 Co 2.67